No. 1
The following is a DFT calculation (GGA-PBE) of a geometry-optimized CuSiN3 structure.

a = 3.5707 Å, b = 3.5707 Å, c = 3.5707 Å
α = 90.00°, β = 90.00°, γ = 90.00°
With the nearest neighbours (Å) after each atom.
Space group Pm-3m (No. 221)
Unique sites:
Cu (0.0000, 0.0000, 0.0000) (multiplicity 1)  12 N 2.52
Si (0.5000, 0.5000, 0.5000) (multiplicity 1)  6 N 1.79
N (0.0000, 0.5000, 0.5000) (multiplicity 3)  2 Si 1.79

Values from the calculation:
N(E_F): 0.85 states/eV/atom
energy relative to the elements, uncorrected: 0.9626 eV/atom
size of the total moment: 0.00 μB/f.u.

No. 2
The following is a DFT calculation (GGA-PBE) of a geometry-optimized Cu3SiN structure.

a = 3.9521 Å, b = 3.9521 Å, c = 3.9521 Å
α = 90.00°, β = 90.00°, γ = 90.00°
With the nearest neighbours (Å) after each atom.
Space group Pm-3m (No. 221)
Unique sites:
Cu (0.0000, 0.0000, 0.5000) (multiplicity 3)  2 N 1.98
Si (0.5000, 0.5000, 0.5000) (multiplicity 1)  12 Cu 2.79
N (0.0000, 0.0000, 0.0000) (multiplicity 1)  6 Cu 1.98

Values from the calculation:
N(E_F): 0.32 states/eV/atom
energy relative to the elements, uncorrected: 0.4933 eV/atom
size of the total moment: 0.00 μB/f.u.
offset from the most stable computed form: 0.0 meV/atom

No. 3
The following is a DFT calculation (GGA-PBE) of a geometry-optimized CuSi3N structure.

a = 4.3753 Å, b = 4.3753 Å, c = 4.3753 Å
α = 90.00°, β = 90.00°, γ = 90.00°
With the nearest neighbours (Å) after each atom.
Space group Pm-3m (No. 221)
Unique sites:
Cu (0.0000, 0.0000, 0.0000) (multiplicity 1)  6 Si 2.19
Si (0.0000, 0.0000, 0.5000) (multiplicity 3)  2 Cu 2.19
N (0.5000, 0.5000, 0.5000) (multiplicity 1)  12 Si 3.09

Values from the calculation:
N(E_F): 0.32 states/eV/atom
energy relative to the elements, uncorrected: 1.5793 eV/atom
size of the total moment: 0.00 μB/f.u.
offset from the most stable computed form: 886.7 meV/atom

No. 4
The following is a DFT calculation (GGA-PBE) of a geometry-optimized CuSi3N structure.

a = 3.9944 Å, b = 3.9944 Å, c = 3.9944 Å
α = 90.00°, β = 90.00°, γ = 90.00°
With the nearest neighbours (Å) after each atom.
Space group Pm-3m (No. 221)
Unique sites:
Cu (0.0000, 0.0000, 0.0000) (multiplicity 1)  12 Si 2.82
Si (0.0000, 0.5000, 0.5000) (multiplicity 3)  2 N 2.00
N (0.5000, 0.5000, 0.5000) (multiplicity 1)  6 Si 2.00

Values from the calculation:
N(E_F): 0.48 states/eV/atom
energy relative to the elements, uncorrected: 0.6926 eV/atom
size of the total moment: 0.00 μB/f.u.
offset from the most stable computed form: 0.0 meV/atom

No. 5
The following is a DFT calculation (GGA-PBE) of a geometry-optimized CuSiN3 structure.

a = 3.7112 Å, b = 3.7112 Å, c = 3.7112 Å
α = 90.00°, β = 90.00°, γ = 90.00°
With the nearest neighbours (Å) after each atom.
Space group Pm-3m (No. 221)
Unique sites:
Cu (0.0000, 0.0000, 0.0000) (multiplicity 1)  6 N 1.86
Si (0.5000, 0.5000, 0.5000) (multiplicity 1)  12 N 2.62
N (0.0000, 0.0000, 0.5000) (multiplicity 3)  2 Cu 1.86

Values from the calculation:
N(E_F): 1.06 states/eV/atom
energy relative to the elements, uncorrected: 2.1102 eV/atom
size of the total moment: 0.00 μB/f.u.

No. 6
The following is a DFT calculation (GGA-PBE) of a geometry-optimized Ta2CuSiN structure.

a = 4.7186 Å, b = 4.7186 Å, c = 3.9244 Å
α = 90.00°, β = 90.00°, γ = 90.00°
With the nearest neighbours (Å) after each atom.
Space group P4/mmm (No. 123)
Unique sites:
Ta (0.0000, 0.5000, 0.0000) (multiplicity 2)  2 Cu 2.36
Cu (0.0000, 0.0000, 0.0000) (multiplicity 1)  2 Si 1.96
Si (0.0000, 0.0000, 0.5000) (multiplicity 1)  2 Cu 1.96
N (0.5000, 0.5000, 0.5000) (multiplicity 1)  8 Ta 3.07, 4 Si 3.34

Values from the calculation:
N(E_F): 0.78 states/eV/atom
energy relative to the elements, uncorrected: 1.8688 eV/atom
size of the total moment: 0.00 μB/f.u.

No. 7
The following is a DFT calculation (GGA-PBE) of a geometry-optimized CuSiTe2N structure.

a = 5.3785 Å, b = 5.3785 Å, c = 3.5546 Å
α = 90.00°, β = 90.00°, γ = 90.00°
With the nearest neighbours (Å) after each atom.
Space group P4/mmm (No. 123)
Unique sites:
Cu (0.0000, 0.0000, 0.0000) (multiplicity 1)  2 N 1.78
Si (0.5000, 0.5000, 0.5000) (multiplicity 1)  8 Te 3.22, 2 Si 3.55
Te (0.0000, 0.5000, 0.0000) (multiplicity 2)  2 Cu 2.69
N (0.0000, 0.0000, 0.5000) (multiplicity 1)  2 Cu 1.78

Values from the calculation:
N(E_F): 0.72 states/eV/atom
energy relative to the elements, uncorrected: 0.9076 eV/atom
size of the total moment: 1.13 μB/f.u.
offset from the most stable computed form: 533.8 meV/atom

No. 8
The following is a DFT calculation (GGA-PBE) of a geometry-optimized CuSiTe2N structure.

a = 5.6188 Å, b = 5.6188 Å, c = 3.2276 Å
α = 90.00°, β = 90.00°, γ = 90.00°
With the nearest neighbours (Å) after each atom.
Space group P4/mmm (No. 123)
Unique sites:
Cu (0.0000, 0.0000, 0.0000) (multiplicity 1)  2 Cu 3.23, 8 Te 3.24
Si (0.5000, 0.5000, 0.5000) (multiplicity 1)  2 N 1.61
Te (0.0000, 0.5000, 0.5000) (multiplicity 2)  2 Si 2.81
N (0.5000, 0.5000, 0.0000) (multiplicity 1)  2 Si 1.61

Values from the calculation:
N(E_F): 0.46 states/eV/atom
energy relative to the elements, uncorrected: 0.3738 eV/atom
size of the total moment: 0.00 μB/f.u.
offset from the most stable computed form: 0.0 meV/atom

No. 9
The following is a DFT calculation (GGA-PBE) of a geometry-optimized VCuSiN2 structure.

a = 3.6628 Å, b = 3.6628 Å, c = 5.4115 Å
α = 90.00°, β = 90.00°, γ = 90.00°
With the nearest neighbours (Å) after each atom.
Space group P4/mmm (No. 123)
Unique sites:
V (0.0000, 0.0000, 0.0000) (multiplicity 1)  4 N 1.83
Cu (0.5000, 0.5000, 0.5000) (multiplicity 1)  4 Si 2.59
Si (0.0000, 0.0000, 0.5000) (multiplicity 1)  4 Cu 2.59, 2 V 2.71
N (0.0000, 0.5000, 0.0000) (multiplicity 2)  2 V 1.83

Values from the calculation:
N(E_F): 0.64 states/eV/atom
energy relative to the elements, uncorrected: 0.7337 eV/atom
size of the total moment: 0.00 μB/f.u.

No. 10
The following is a DFT calculation (GGA-PBE) of a geometry-optimized SmCuN structure.

a = 6.7245 Å, b = 3.8834 Å, c = 5.2458 Å
α = 90.00°, β = 115.41°, γ = 90.00°
With the nearest neighbours (Å) after each atom.
Space group Cm (No. 8)
Unique sites:
Sm (0.0000, 0.0000, 0.0000) (multiplicity 2)  3 N 2.31
Cu (0.0030, 0.5000, 0.5082) (multiplicity 2)  1 N 1.85
N (0.3728, 0.0000, 0.1177) (multiplicity 2)  1 Cu 1.85

Values from the calculation:
N(E_F): 0.69 states/eV/atom
energy relative to the elements, uncorrected: -0.3055 eV/atom
size of the total moment: 0.00 μB/f.u.

No. 11
The following is a DFT calculation (GGA-PBE) of a geometry-optimized Sm12Cu3N5 structure.

a = 15.6205 Å, b = 15.6205 Å, c = 15.6205 Å
α = 90.00°, β = 90.00°, γ = 90.00°
With the nearest neighbours (Å) after each atom.
Space group Ia-3d (No. 230)
Unique sites:
Sm (0.0336, 0.0541, 0.6493) (multiplicity 96)  2 N 2.29-2.54
Cu (0.0000, 0.2500, 0.1250) (multiplicity 24)  8 Sm 3.05-3.13
N (0.0000, 0.0000, 0.0000) (multiplicity 16)  6 Sm 2.54
N (0.0000, 0.2500, 0.3750) (multiplicity 24)  4 Sm 2.29

Values from the calculation:
N(E_F): 1.04 states/eV/atom
energy relative to the elements, uncorrected: -0.6357 eV/atom
size of the total moment: 0.00 μB/f.u.

No. 12
The following is a DFT calculation (GGA-PBE) of a geometry-optimized Sm4Cu2N structure.

a = 4.9038 Å, b = 4.9038 Å, c = 13.8118 Å
α = 90.00°, β = 90.00°, γ = 90.00°
With the nearest neighbours (Å) after each atom.
Space group I4/mmm (No. 139)
Unique sites:
Sm (0.0000, 0.0000, 0.1812) (multiplicity 4)  1 N 2.50, 1 Cu 2.77
Sm (0.0000, 0.5000, 0.0000) (multiplicity 4)  2 N 2.45
Cu (0.0000, 0.0000, 0.3820) (multiplicity 4)  5 Sm 2.77-2.94
N (0.0000, 0.0000, 0.0000) (multiplicity 2)  6 Sm 2.45-2.50

Values from the calculation:
N(E_F): 1.11 states/eV/atom
energy relative to the elements, uncorrected: -0.4303 eV/atom
size of the total moment: 0.00 μB/f.u.